Here is NaAg2Sn2 at its PBEsol-relaxed geometry from Alexandria via LeMat-Bulk. Energies are from SCAN.

The space group is I4/mmm (No. 139) and the conventional cell measures 4.403, 4.403 and 12.237 Å, with angles of 90.00, 90.00 and 90.00 degrees. Symmetry generates all atoms from Na at (0.000, 0.000, 0.000), Ag at (0.000, 0.500, 0.250) and Sn at (0.000, 0.000, 0.385).

The density of states at the Fermi level is 4.5 states/eV/cell. As for the energy relative to the lowest polymorph listed for this composition: 0 meV/atom.

***

Here is NaAg2Sn2 at its PBEsol-relaxed geometry from Alexandria via LeMat-Bulk. Energies are from SCAN.

The space group is P4/mbm (No. 127) and the conventional cell measures 8.543, 8.543 and 3.076 Å, with angles of 90.00, 90.00 and 90.00 degrees. Symmetry generates all atoms from Na at (0.000, 0.000, 0.000), Ag at (0.149, 0.351, 0.500) and Sn at (0.147, 0.647, 0.000).

The density of states at the Fermi level is 3.8 states/eV/cell. As for the energy relative to the lowest polymorph listed for this composition: 43 meV/atom.

***

Here is Na2Ag2Sn at its PBEsol-relaxed geometry from Alexandria via LeMat-Bulk. Energies are from SCAN.

The space group is P4/mbm (No. 127) and the conventional cell measures 7.094, 7.094 and 4.644 Å, with angles of 90.00, 90.00 and 90.00 degrees. Symmetry generates all atoms from Na at (0.171, 0.329, 0.000), Ag at (0.137, 0.637, 0.500) and Sn at (0.000, 0.000, 0.500).

The density of states at the Fermi level is 3.8 states/eV/cell. Its calculated total energy is -21.482 eV per atom.

***

Here is Na2SrAg2 at its PBEsol-relaxed geometry from Alexandria via LeMat-Bulk. Energies are from SCAN.

The space group is I4/mmm (No. 139) and the conventional cell measures 4.406, 4.406 and 14.037 Å, with angles of 90.00, 90.00 and 90.00 degrees. Symmetry generates all atoms from Na at (0.000, 0.500, 0.250), Sr at (0.000, 0.000, 0.000) and Ag at (0.000, 0.000, 0.404).

The density of states at the Fermi level is 4.4 states/eV/cell. Its calculated total energy is -18.806 eV per atom.

***

Here is Na2TaAg at its PBEsol-relaxed geometry from Alexandria via LeMat-Bulk. Energies are from SCAN.

The space group is I-42d (No. 122) and the conventional cell measures 8.084, 8.084 and 5.449 Å, with angles of 90.00, 90.00 and 90.00 degrees. Symmetry generates all atoms from Na at (0.218, 0.250, 0.125), Ta at (0.000, 0.000, 0.500) and Ag at (0.000, 0.000, 0.000).

The density of states at the Fermi level is 9.3 states/eV/cell. As for the energy relative to the lowest polymorph listed for this composition: 0 meV/atom.

***

Here is Na2TaAg at its PBEsol-relaxed geometry from Alexandria via LeMat-Bulk. Energies are from SCAN.

The space group is Fm-3m (No. 225) and the conventional cell measures 7.036, 7.036 and 7.036 Å, with angles of 90.00, 90.00 and 90.00 degrees. Symmetry generates all atoms from Na at (0.250, 0.250, 0.250), Ta at (0.000, 0.000, 0.000) and Ag at (0.000, 0.000, 0.500).

The density of states at the Fermi level is 16.4 states/eV/cell. As for the energy relative to the lowest polymorph listed for this composition: 42 meV/atom.

***

Here is NaAgTe at its PBEsol-relaxed geometry from Alexandria via LeMat-Bulk. Energies are from SCAN.

The space group is Pnma (No. 62) and the conventional cell measures 7.721, 4.542 and 8.281 Å, with angles of 90.00, 90.00 and 90.00 degrees. Symmetry generates all atoms from Na at (0.024, 0.250, 0.182), Ag at (0.124, 0.250, 0.556) and Te at (0.241, 0.750, 0.378).

The uncorrected formation energy is -0.619 eV/atom.

***

Here is NaTi2Ag at its PBEsol-relaxed geometry from Alexandria via LeMat-Bulk. Energies are from SCAN.

The space group is Fm-3m (No. 225) and the conventional cell measures 6.592, 6.592 and 6.592 Å, with angles of 90.00, 90.00 and 90.00 degrees. Symmetry generates all atoms from Na at (0.000, 0.000, 0.000), Ti at (0.250, 0.250, 0.250) and Ag at (0.000, 0.000, 0.500).

The density of states at the Fermi level is 17.9 states/eV/cell. Its calculated total energy is -16.386 eV per atom.